GGA+U AlCuW2O8, relaxed; spin magnetization = 0.00 μB per formula unit; raw total energy = -0.5178 Ry/atom
1.0
5.078 0.000 0.000
-2.268 5.124 0.000
-0.082 -2.114 5.278
Al Cu W O
1 1 2 8
direct
0.000 0.000 0.000 Al
0.500 0.000 0.500 Cu
0.250 0.501 0.685 W
0.750 0.499 0.315 W
0.157 0.700 0.456 O
0.214 0.783 0.940 O
0.226 0.243 0.825 O
0.319 0.287 0.314 O
0.681 0.713 0.686 O
0.774 0.757 0.175 O
0.786 0.217 0.060 O
0.843 0.300 0.544 O